(1)
TbYCo10 | PBE-GGA | optimized geometry

Geometry as POSCAR:
```
TbYCo10
1.0
3.9428 0.0000 0.0000
0.0000 4.9283 0.0000
0.0000 0.0000 8.5435
Tb Y Co
1 1 10
Cartesian
0.0000 0.0000 0.0000
0.0000 2.4641 4.2717
0.0000 0.0000 2.8367
0.0000 0.0000 5.7067
0.0000 2.4641 1.4198
0.0000 2.4641 7.1237
1.9714 0.0000 4.2717
1.9714 1.2348 2.1399
1.9714 1.2348 6.4036
1.9714 2.4641 0.0000
1.9714 3.6935 2.1399
1.9714 3.6935 6.4036
```

Space-group type: Pmmm (47)
Crystal system: orthorhombic

---

(2)
Ta2MnMo | PBE-GGA | optimized geometry

Geometry as POSCAR:
```
Ta2MnMo
1.0
3.2080 0.0000 0.0000
0.0000 4.6282 0.0000
0.0000 0.0000 8.5372
Ta Mn Mo
4 2 2
Cartesian
0.0000 0.0000 2.0042
0.0000 0.0000 6.5329
1.6040 2.3141 2.0042
1.6040 2.3141 6.5329
0.0000 2.3141 0.0000
1.6040 0.0000 0.0000
0.0000 2.3141 4.2686
1.6040 0.0000 4.2686
```

Space-group type: Cmmm (65)
Crystal system: orthorhombic

---

(3)
GeIrPb3 | PBE-GGA | optimized geometry

Geometry as POSCAR:
```
GeIrPb3
1.0
5.3139 0.0000 0.0000
0.0000 5.3139 0.0000
0.0000 0.0000 5.3139
Ge Ir Pb
1 1 3
Cartesian
0.0000 0.0000 0.0000
2.6570 2.6570 2.6570
0.0000 2.6570 2.6570
2.6570 0.0000 2.6570
2.6570 2.6570 0.0000
```

Space-group type: Pm-3m (221)
Crystal system: cubic

---

(4)
KGaPdW2 | PBE-GGA | optimized geometry

Geometry as POSCAR:
```
KGaPdW2
1.0
4.7347 0.0000 0.0000
0.0000 4.7347 0.0000
0.0000 0.0000 5.4289
K Ga Pd W
1 1 1 2
Cartesian
0.0000 0.0000 0.0000
0.0000 0.0000 2.7145
2.3673 2.3673 0.0000
0.0000 2.3673 2.7145
2.3673 0.0000 2.7145
```

Space-group type: P4/mmm (123)
Crystal system: tetragonal

---

Record-wise calculated formation energy values, in eV/atom: -0.1040; -0.0113; 0.4488; 2.0016
Record-wise Fermi-level density of states values, in states/eV/atom: 1.58; 0.73; 0.90; 1.11